1.
A relaxed structure of Ti2AlZn2. Source: Alexandria via LeMat-Bulk, functional GGA-PBE.

Calculated values
Calculated total energy   -4.316 eV per atom
Size of the total moment   0.000 μB/f.u.
E_form   0.10 eV/atom
Energy relative to the lowest polymorph listed for this composition   377.1 meV/atom

Geometry as CIF:
```
data_Ti2AlZn2
_chemical_formula_sum 'Ti4 Al2 Zn4'
_space_group_name_H-M_alt 'P 4/m b m'
_space_group_IT_number 127
_space_group_name_Hall '-P 4 2ab'
_cell_length_a 7.155
_cell_length_b 7.155
_cell_length_c 3.320
_cell_angle_alpha 90.00
_cell_angle_beta 90.00
_cell_angle_gamma 90.00
loop_
_atom_site_label
_atom_site_type_symbol
_atom_site_fract_x
_atom_site_fract_y
_atom_site_fract_z
Ti1 Ti 0.155 0.345 0.000
Al1 Al 0.000 0.000 0.000
Zn1 Zn 0.145 0.645 0.500
```


2.
A relaxed structure of CaGeTeN2. Source: Alexandria via LeMat-Bulk, functional GGA-PBE.

Calculated values
Calculated total energy   -4.031 eV per atom
Size of the total moment   4.001 μB/f.u.
E_form (uncorrected)   1251 meV/atom
Energy relative to the lowest polymorph listed for this composition   635.9 meV/atom

Geometry as CIF:
```
data_CaGeTeN2
_chemical_formula_sum 'Ca1 Ge1 Te1 N2'
_space_group_name_H-M_alt 'P 4/m m m'
_space_group_IT_number 123
_space_group_name_Hall '-P 4 2'
_cell_length_a 4.540
_cell_length_b 4.540
_cell_length_c 6.325
_cell_angle_alpha 90.00
_cell_angle_beta 90.00
_cell_angle_gamma 90.00
loop_
_atom_site_label
_atom_site_type_symbol
_atom_site_fract_x
_atom_site_fract_y
_atom_site_fract_z
Ca1 Ca 0.000 0.000 0.000
Ge1 Ge 0.500 0.500 0.500
Te1 Te 0.000 0.000 0.500
N1 N 0.000 0.500 0.000
```


Q: The highest calculated total energy belongs to which entry?
A: CaGeTeN2


Q: Look up the size of the total moment of the second one.
A: 4.001 μB/f.u.


Q: Number 1 is which compound?
A: Ti2AlZn2